The following is a PBE-GGA calculation of a geometry-optimized PmNdSi2Pd2 structure, from Alexandria.

Geometry as extended XYZ:
```
6
Lattice="-2.688 -3.247 -0.070 4.060 -0.644 0.935 -1.676 1.212 8.112" Properties=species:S:1:pos:R:3 pbc="T T T"
Nd 0.000 0.000 0.000
Si -1.694 -1.472 6.341
Pd -0.863 -2.073 2.319
Pm -0.838 0.606 4.056
Si 1.390 -1.207 2.636
Pd 0.559 -0.607 6.658
```

Values from the calculation:
* theoretical density: 7.194 g cm⁻³
* size of the total moment: 0.00 μB per cell
* formation energy without anion corrections: -901 meV/atom

The following is a PBE-GGA calculation of a geometry-optimized SrAg3As2 structure, from Alexandria.

Geometry as extended XYZ:
```
12
Lattice="4.277 0.000 1.177 0.999 7.499 4.728 -0.066 0.620 8.594" Properties=species:S:1:pos:R:3 pbc="T T T"
Sr 1.504 7.510 11.249
As 3.026 6.287 5.718
Ag 2.855 2.661 6.341
Ag 0.816 4.733 5.393
Sr 3.706 0.610 3.250
Ag 3.500 4.240 3.997
As 1.118 2.283 4.293
Ag 1.709 3.879 10.503
Ag 2.355 5.459 8.159
As 2.183 1.832 8.782
Ag 4.394 3.387 9.107
As 4.091 5.837 10.206
```

Values from the calculation:
* theoretical density: 7.048 g cm⁻³
* size of the total moment: 0.00 μB per cell

Calculated total DFT energy (no corrections) (eV per atom), listed in the same order as above: -6.03; -3.63